No. 1
The following is a DFT calculation (PBE-GGA) of CrNiBr2 after structural relaxation.

As for the energy above the most stable polymorph in this dataset: 150 meV/atom.

It has space group P4mm (No. 99), with a = 3.513 Å, b = 3.513 Å, c = 7.153 Å, α = 90.00°, β = 90.00° and γ = 90.00°. The asymmetric unit holds Cr at (0.000, 0.000, 0.000), Ni at (0.500, 0.500, 0.130), Br at (0.000, 0.000, 0.341) and Br at (0.500, 0.500, 0.808).

---

No. 2
The following is a DFT calculation (PBE-GGA) of Ho6Sn2TeSe3 after structural relaxation.

Its total energy is -129.74 eV/cell.

It has space group C2/m (No. 12), with a = 18.372 Å, b = 4.225 Å, c = 8.462 Å, α = 90.00°, β = 102.83° and γ = 90.00°. The asymmetric unit holds Ho at (0.001, 0.000, 0.268), Ho at (0.165, 0.500, 0.588), Ho at (0.172, 0.500, 0.085), Sn at (0.167, 0.000, 0.333), Te at (0.000, 0.500, 0.000), Se at (0.000, 0.500, 0.500) and Se at (0.164, 0.000, 0.835).

---

No. 3
The following is a DFT calculation (PBE-GGA) of BaSi2W after structural relaxation.

As for the energy above the most stable polymorph in this dataset: 143 meV/atom.

It has space group I4_1/amd (No. 141, origin choice 2), with a = 5.444 Å, b = 5.444 Å, c = 15.672 Å, α = 90.00°, β = 90.00° and γ = 90.00°. The asymmetric unit holds Ba at (0.000, 0.250, 0.375), Si at (0.000, 0.000, 0.000) and W at (0.000, 0.250, 0.875).